First-principles (GGA+U) data for an optimized crystal structure of Rb2AcFe2O7, as listed in Alexandria via LeMat-Bulk.

Space-group type ... I4/mmm, No. 139
Total magnetization ... 7.11 μB per formula unit
Uncorrected energy ... -71.75 eV per cell

Unit cell a=11.3267 b=11.3267 c=11.3267 alpha=159.63 beta=159.63 gamma=28.97
Fractional coordinates of all 12 atoms:
Rb 0.1873 0.1873 0.0000
Rb 0.8127 0.8127 0.0000
Ac 0.0000 0.0000 0.0000
Fe 0.4068 0.4068 0.0000
Fe 0.5932 0.5932 0.0000
O 0.0813 0.5813 0.5000
O 0.3266 0.3266 0.0000
O 0.4187 0.9187 0.5000
O 0.5000 0.5000 0.0000
O 0.5813 0.0813 0.5000
O 0.6734 0.6734 0.0000
O 0.9187 0.4187 0.5000